P | # CdAgTeN2 | Alexandria | PBE-GGA | relaxed
data_CdAgTeN2
_chemical_formula_sum 'Cd1 Ag1 Te1 N2'
_cell_length_a 4.2815
_cell_length_b 4.2815
_cell_length_c 6.3724
_cell_angle_alpha 90.00
_cell_angle_beta 90.00
_cell_angle_gamma 90.00
_symmetry_space_group_name_H-M 'P 4/m m m'
_symmetry_Int_Tables_number 123
_symmetry_space_group_name_Hall '-P 4 2'
loop_
_atom_site_label
_atom_site_type_symbol
_atom_site_fract_x
_atom_site_fract_y
_atom_site_fract_z
_atom_site_occupancy
Cd1 Cd 0.0000 0.0000 0.0000 1
Ag1 Ag 0.5000 0.5000 0.5000 1
Te1 Te 0.0000 0.0000 0.5000 1
N1 N 0.0000 0.5000 0.0000 1
# - ρ (g cm⁻³) = 5.34

Q | # CdAgTeN2 | Alexandria | PBE-GGA | relaxed
data_CdAgTeN2
_chemical_formula_sum 'Cd1 Ag1 Te1 N2'
_cell_length_a 4.2302
_cell_length_b 4.2302
_cell_length_c 6.0149
_cell_angle_alpha 90.00
_cell_angle_beta 90.00
_cell_angle_gamma 90.00
_symmetry_space_group_name_H-M 'P 4/m m m'
_symmetry_Int_Tables_number 123
_symmetry_space_group_name_Hall '-P 4 2'
loop_
_atom_site_label
_atom_site_type_symbol
_atom_site_fract_x
_atom_site_fract_y
_atom_site_fract_z
_atom_site_occupancy
Cd1 Cd 0.0000 0.0000 0.0000 1
Ag1 Ag 0.5000 0.5000 0.5000 1
Te1 Te 0.5000 0.5000 0.0000 1
N1 N 0.0000 0.5000 0.5000 1
# - ρ (g cm⁻³) = 5.80

Most stable pick: Q. Distance to second place: 0.045 eV/atom.

P | # Na12CdAg6 | Alexandria | PBE-GGA | relaxed
data_Na12CdAg6
_chemical_formula_sum 'Na36 Cd3 Ag18'
_cell_length_a 10.9783
_cell_length_b 10.9783
_cell_length_c 14.1587
_cell_angle_alpha 90.00
_cell_angle_beta 90.00
_cell_angle_gamma 120.00
_symmetry_space_group_name_H-M 'R -3'
_symmetry_Int_Tables_number 148
_symmetry_space_group_name_Hall '-R 3'
loop_
_atom_site_label
_atom_site_type_symbol
_atom_site_fract_x
_atom_site_fract_y
_atom_site_fract_z
_atom_site_occupancy
Na1 Na 0.0351 0.1948 0.3144 1
Na2 Na 0.0574 0.8350 0.9125 1
Cd1 Cd 0.0000 0.0000 0.5000 1
Ag1 Ag 0.0418 0.4486 0.1990 1
# - ρ (g cm⁻³) = 3.49

Q | # Na12CdAg6 | Alexandria | PBE-GGA | relaxed
data_Na12CdAg6
_chemical_formula_sum 'Na36 Cd3 Ag18'
_cell_length_a 14.4447
_cell_length_b 14.4447
_cell_length_c 7.9050
_cell_angle_alpha 90.00
_cell_angle_beta 90.00
_cell_angle_gamma 120.00
_symmetry_space_group_name_H-M 'R -3'
_symmetry_Int_Tables_number 148
_symmetry_space_group_name_Hall '-R 3'
loop_
_atom_site_label
_atom_site_type_symbol
_atom_site_fract_x
_atom_site_fract_y
_atom_site_fract_z
_atom_site_occupancy
Na1 Na 0.0026 0.1421 0.1597 1
Na2 Na 0.0616 0.5546 0.1828 1
Cd1 Cd 0.0000 0.0000 0.5000 1
Ag1 Ag 0.0264 0.2874 0.8201 1
# - ρ (g cm⁻³) = 3.61

Most stable pick: P. Distance to second place: 0.022 eV/atom.

P | # NaCd6Ag2 | Alexandria | PBE-GGA | relaxed
data_NaCd6Ag2
_chemical_formula_sum 'Na1 Cd6 Ag2'
_cell_length_a 6.0662
_cell_length_b 6.0662
_cell_length_c 7.5230
_cell_angle_alpha 90.00
_cell_angle_beta 90.00
_cell_angle_gamma 120.00
_symmetry_space_group_name_H-M 'P 6/m m m'
_symmetry_Int_Tables_number 191
_symmetry_space_group_name_Hall '-P 6 2'
loop_
_atom_site_label
_atom_site_type_symbol
_atom_site_fract_x
_atom_site_fract_y
_atom_site_fract_z
_atom_site_occupancy
Na1 Na 0.0000 0.0000 0.0000 1
Cd1 Cd 0.0000 0.5000 0.1977 1
Ag1 Ag 0.3333 0.6667 0.5000 1
# - ρ (g cm⁻³) = 6.32

Q | # NaCd6Ag2 | Alexandria | PBE-GGA | relaxed
data_NaCd6Ag2
_chemical_formula_sum 'Na2 Cd12 Ag4'
_cell_length_a 15.2543
_cell_length_b 8.3601
_cell_length_c 3.1553
_cell_angle_alpha 90.00
_cell_angle_beta 100.07
_cell_angle_gamma 90.00
_symmetry_space_group_name_H-M 'C 1 2/m 1'
_symmetry_Int_Tables_number 12
_symmetry_space_group_name_Hall '-C 2y'
loop_
_atom_site_label
_atom_site_type_symbol
_atom_site_fract_x
_atom_site_fract_y
_atom_site_fract_z
_atom_site_occupancy
Na1 Na 0.0000 0.0000 0.0000 1
Cd1 Cd 0.0000 0.3293 0.5000 1
Cd2 Cd 0.1742 0.1762 0.6796 1
Ag1 Ag 0.1493 0.5000 0.1386 1
# - ρ (g cm⁻³) = 7.65

Most stable pick: Q. Distance to second place: 0.080 eV/atom.

P | # NaCdAg3 | Alexandria | PBE-GGA | relaxed
data_NaCdAg3
_chemical_formula_sum 'Na1 Cd1 Ag3'
_cell_length_a 4.9960
_cell_length_b 4.9960
_cell_length_c 4.9960
_cell_angle_alpha 90.00
_cell_angle_beta 90.00
_cell_angle_gamma 90.00
_symmetry_space_group_name_H-M 'P m -3 m'
_symmetry_Int_Tables_number 221
_symmetry_space_group_name_Hall '-P 4 2 3'
loop_
_atom_site_label
_atom_site_type_symbol
_atom_site_fract_x
_atom_site_fract_y
_atom_site_fract_z
_atom_site_occupancy
Na1 Na 0.0000 0.0000 0.0000 1
Cd1 Cd 0.5000 0.5000 0.5000 1
Ag1 Ag 0.0000 0.0000 0.5000 1
# - ρ (g cm⁻³) = 6.11

Q | # NaCdAg3 | Alexandria | PBE-GGA | relaxed
data_NaCdAg3
_chemical_formula_sum 'Na2 Cd2 Ag6'
_cell_length_a 4.7064
_cell_length_b 5.5394
_cell_length_c 8.4195
_cell_angle_alpha 91.35
_cell_angle_beta 105.72
_cell_angle_gamma 90.37
_symmetry_space_group_name_H-M 'P 1'
_symmetry_Int_Tables_number 1
_symmetry_space_group_name_Hall 'P 1'
loop_
_atom_site_label
_atom_site_type_symbol
_atom_site_fract_x
_atom_site_fract_y
_atom_site_fract_z
_atom_site_occupancy
Na1 Na 0.0000 0.0000 0.0000 1
Na2 Na 0.2650 0.4702 0.5187 1
Cd1 Cd 0.4666 0.4274 0.9294 1
Cd2 Cd 0.7986 0.0439 0.5896 1
Ag1 Ag 0.0764 0.4955 0.1463 1
Ag2 Ag 0.1891 0.9748 0.3727 1
Ag3 Ag 0.3796 0.9027 0.7552 1
Ag4 Ag 0.6326 0.2347 0.2591 1
Ag5 Ag 0.6331 0.7347 0.2601 1
Ag6 Ag 0.8855 0.5680 0.7633 1
# - ρ (g cm⁻³) = 7.22

Most stable pick: Q. Distance to second place: 0.728 eV/atom.

P | # NaCdAg4 | Alexandria | PBE-GGA | relaxed
data_NaCdAg4
_chemical_formula_sum 'Na4 Cd4 Ag16'
_cell_length_a 7.9307
_cell_length_b 7.9307
_cell_length_c 7.9307
_cell_angle_alpha 90.00
_cell_angle_beta 90.00
_cell_angle_gamma 90.00
_symmetry_space_group_name_H-M 'F -4 3 m'
_symmetry_Int_Tables_number 216
_symmetry_space_group_name_Hall 'F -4 2 3'
loop_
_atom_site_label
_atom_site_type_symbol
_atom_site_fract_x
_atom_site_fract_y
_atom_site_fract_z
_atom_site_occupancy
Na1 Na 0.0000 0.0000 0.0000 1
Cd1 Cd 0.2500 0.2500 0.7500 1
Ag1 Ag 0.1248 0.1248 0.3752 1
# - ρ (g cm⁻³) = 7.55

Q | # NaCdAg4 | Alexandria | PBE-GGA | relaxed
data_NaCdAg4
_chemical_formula_sum 'Na4 Cd4 Ag16'
_cell_length_a 7.1368
_cell_length_b 8.2722
_cell_length_c 8.2194
_cell_angle_alpha 90.00
_cell_angle_beta 98.90
_cell_angle_gamma 90.00
_symmetry_space_group_name_H-M 'C 1 2/c 1'
_symmetry_Int_Tables_number 15
_symmetry_space_group_name_Hall '-C 2yc'
loop_
_atom_site_label
_atom_site_type_symbol
_atom_site_fract_x
_atom_site_fract_y
_atom_site_fract_z
_atom_site_occupancy
Na1 Na 0.0000 0.1130 0.2500 1
Cd1 Cd 0.0000 0.4721 0.2500 1
Ag1 Ag 0.1283 0.2183 0.6245 1
Ag2 Ag 0.2475 0.4159 0.0218 1
# - ρ (g cm⁻³) = 7.85

Most stable pick: P. Distance to second place: 0.048 eV/atom.

P | # NaCd4Ag | Alexandria | PBE-GGA | relaxed
data_NaCd4Ag
_chemical_formula_sum 'Na2 Cd8 Ag2'
_cell_length_a 9.1878
_cell_length_b 3.8727
_cell_length_c 7.9235
_cell_angle_alpha 90.00
_cell_angle_beta 90.00
_cell_angle_gamma 90.00
_symmetry_space_group_name_H-M 'P m m a'
_symmetry_Int_Tables_number 51
_symmetry_space_group_name_Hall '-P 2a 2a'
loop_
_atom_site_label
_atom_site_type_symbol
_atom_site_fract_x
_atom_site_fract_y
_atom_site_fract_z
_atom_site_occupancy
Na1 Na 0.2500 0.0000 0.0845 1
Cd1 Cd 0.0000 0.0000 0.5000 1
Cd2 Cd 0.0361 0.5000 0.8186 1
Cd3 Cd 0.2500 0.5000 0.4095 1
Ag1 Ag 0.2500 0.0000 0.7049 1
# - ρ (g cm⁻³) = 6.84

Q | # NaCd4Ag | Alexandria | PBE-GGA | relaxed
data_NaCd4Ag
_chemical_formula_sum 'Na1 Cd4 Ag1'
_cell_length_a 3.0699
_cell_length_b 4.2779
_cell_length_c 10.1408
_cell_angle_alpha 90.00
_cell_angle_beta 90.00
_cell_angle_gamma 90.00
_symmetry_space_group_name_H-M 'P m m m'
_symmetry_Int_Tables_number 47
_symmetry_space_group_name_Hall '-P 2 2'
loop_
_atom_site_label
_atom_site_type_symbol
_atom_site_fract_x
_atom_site_fract_y
_atom_site_fract_z
_atom_site_occupancy
Na1 Na 0.0000 0.0000 0.0000 1
Cd1 Cd 0.0000 0.0000 0.3474 1
Cd2 Cd 0.5000 0.5000 0.1859 1
Ag1 Ag 0.5000 0.5000 0.5000 1
# - ρ (g cm⁻³) = 7.24

Most stable pick: P. Distance to second place: 0.016 eV/atom.

P | # Na3Cd4Ag2 | Alexandria | PBE-GGA | relaxed
data_Na3Cd4Ag2
_chemical_formula_sum 'Na6 Cd8 Ag4'
_cell_length_a 10.8551
_cell_length_b 5.0884
_cell_length_c 9.1916
_cell_angle_alpha 90.00
_cell_angle_beta 124.85
_cell_angle_gamma 90.00
_symmetry_space_group_name_H-M 'C 1 2/m 1'
_symmetry_Int_Tables_number 12
_symmetry_space_group_name_Hall '-C 2y'
loop_
_atom_site_label
_atom_site_type_symbol
_atom_site_fract_x
_atom_site_fract_y
_atom_site_fract_z
_atom_site_occupancy
Na1 Na 0.0000 0.0000 0.0000 1
Na2 Na 0.1659 0.5000 0.6665 1
Cd1 Cd 0.0663 0.0000 0.3960 1
Cd2 Cd 0.2070 0.5000 0.0449 1
Ag1 Ag 0.1114 0.5000 0.2797 1
# - ρ (g cm⁻³) = 5.85

Q | # Na3Cd4Ag2 | Alexandria | PBE-GGA | relaxed
data_Na3Cd4Ag2
_chemical_formula_sum 'Na12 Cd16 Ag8'
_cell_length_a 11.4570
_cell_length_b 10.2972
_cell_length_c 8.1944
_cell_angle_alpha 90.00
_cell_angle_beta 115.33
_cell_angle_gamma 90.00
_symmetry_space_group_name_H-M 'C 1 2/c 1'
_symmetry_Int_Tables_number 15
_symmetry_space_group_name_Hall '-C 2yc'
loop_
_atom_site_label
_atom_site_type_symbol
_atom_site_fract_x
_atom_site_fract_y
_atom_site_fract_z
_atom_site_occupancy
Na1 Na 0.0000 0.0982 0.2500 1
Na2 Na 0.0948 0.3868 0.1270 1
Cd1 Cd 0.0997 0.1792 0.6731 1
Cd2 Cd 0.2058 0.1028 0.0697 1
Ag1 Ag 0.2166 0.3712 0.5447 1
# - ρ (g cm⁻³) = 5.58

Most stable pick: P. Distance to second place: 0.024 eV/atom.

P | # Na7Cd3Ag | Alexandria | PBE-GGA | relaxed
data_Na7Cd3Ag
_chemical_formula_sum 'Na7 Cd3 Ag1'
_cell_length_a 7.7069
_cell_length_b 7.7069
_cell_length_c 6.9566
_cell_angle_alpha 90.00
_cell_angle_beta 90.00
_cell_angle_gamma 120.00
_symmetry_space_group_name_H-M 'P 3 m 1'
_symmetry_Int_Tables_number 156
_symmetry_space_group_name_Hall 'P 3 -2"'
loop_
_atom_site_label
_atom_site_type_symbol
_atom_site_fract_x
_atom_site_fract_y
_atom_site_fract_z
_atom_site_occupancy
Na1 Na 0.0000 0.0000 0.0000 1
Na2 Na 0.3409 0.1705 0.5030 1
Na3 Na 0.5027 0.0054 0.8991 1
Cd1 Cd 0.2019 0.4039 0.2456 1
Ag1 Ag 0.3333 0.6667 0.5823 1
# - ρ (g cm⁻³) = 2.81

Q | # Na7Cd3Ag | Alexandria | PBE-GGA | relaxed
data_Na7Cd3Ag
_chemical_formula_sum 'Na28 Cd12 Ag4'
_cell_length_a 3.1951
_cell_length_b 25.3962
_cell_length_c 15.3362
_cell_angle_alpha 90.00
_cell_angle_beta 90.00
_cell_angle_gamma 90.00
_symmetry_space_group_name_H-M 'C m c m'
_symmetry_Int_Tables_number 63
_symmetry_space_group_name_Hall '-C 2c 2'
loop_
_atom_site_label
_atom_site_type_symbol
_atom_site_fract_x
_atom_site_fract_y
_atom_site_fract_z
_atom_site_occupancy
Na1 Na 0.0000 0.0497 0.1378 1
Na2 Na 0.0000 0.0841 0.5900 1
Na3 Na 0.0000 0.1807 0.2500 1
Na4 Na 0.0000 0.2208 0.5990 1
Cd1 Cd 0.0000 0.3461 0.5628 1
Cd2 Cd 0.0000 0.3493 0.2500 1
Ag1 Ag 0.0000 0.4649 0.2500 1
# - ρ (g cm⁻³) = 3.23

Most stable pick: Q. Distance to second place: 0.083 eV/atom.

P | # Na3Cd4Ag4 | Alexandria | PBE-GGA | relaxed
data_Na3Cd4Ag4
_chemical_formula_sum 'Na6 Cd8 Ag8'
_cell_length_a 4.3018
_cell_length_b 8.3098
_cell_length_c 14.9228
_cell_angle_alpha 90.00
_cell_angle_beta 90.00
_cell_angle_gamma 90.00
_symmetry_space_group_name_H-M 'I m m m'
_symmetry_Int_Tables_number 71
_symmetry_space_group_name_Hall '-I 2 2'
loop_
_atom_site_label
_atom_site_type_symbol
_atom_site_fract_x
_atom_site_fract_y
_atom_site_fract_z
_atom_site_occupancy
Na1 Na 0.0000 0.0000 0.0000 1
Na2 Na 0.0000 0.5000 0.1208 1
Cd1 Cd 0.0000 0.3002 0.3275 1
Ag1 Ag 0.0000 0.0000 0.2263 1
Ag2 Ag 0.0000 0.1727 0.5000 1
# - ρ (g cm⁻³) = 5.92

Q | # Na3Cd4Ag4 | Alexandria | PBE-GGA | relaxed
data_Na3Cd4Ag4
_chemical_formula_sum 'Na6 Cd8 Ag8'
_cell_length_a 4.7787
_cell_length_b 7.5311
_cell_length_c 14.9025
_cell_angle_alpha 90.00
_cell_angle_beta 90.00
_cell_angle_gamma 90.00
_symmetry_space_group_name_H-M 'I m m m'
_symmetry_Int_Tables_number 71
_symmetry_space_group_name_Hall '-I 2 2'
loop_
_atom_site_label
_atom_site_type_symbol
_atom_site_fract_x
_atom_site_fract_y
_atom_site_fract_z
_atom_site_occupancy
Na1 Na 0.0000 0.0000 0.0000 1
Na2 Na 0.0000 0.5000 0.1297 1
Cd1 Cd 0.0000 0.0000 0.2114 1
Cd2 Cd 0.0000 0.1953 0.5000 1
Ag1 Ag 0.0000 0.3069 0.3207 1
# - ρ (g cm⁻³) = 5.88

Most stable pick: P. Distance to second place: 0.009 eV/atom.

P | # Na3Cd2Ag | Alexandria | PBE-GGA | relaxed
data_Na3Cd2Ag
_chemical_formula_sum 'Na12 Cd8 Ag4'
_cell_length_a 10.4716
_cell_length_b 10.4228
_cell_length_c 5.9324
_cell_angle_alpha 90.00
_cell_angle_beta 90.00
_cell_angle_gamma 90.00
_symmetry_space_group_name_H-M 'C m c m'
_symmetry_Int_Tables_number 63
_symmetry_space_group_name_Hall '-C 2c 2'
loop_
_atom_site_label
_atom_site_type_symbol
_atom_site_fract_x
_atom_site_fract_y
_atom_site_fract_z
_atom_site_occupancy
Na1 Na 0.0000 0.1122 0.2500 1
Na2 Na 0.1549 0.2497 0.7500 1
Cd1 Cd 0.2380 0.5000 0.0000 1
Ag1 Ag 0.0000 0.4628 0.2500 1
# - ρ (g cm⁻³) = 4.12

Q | # Na3Cd2Ag | Alexandria | PBE-GGA | relaxed
data_Na3Cd2Ag
_chemical_formula_sum 'Na12 Cd8 Ag4'
_cell_length_a 9.2354
_cell_length_b 11.7020
_cell_length_c 5.8268
_cell_angle_alpha 90.00
_cell_angle_beta 90.00
_cell_angle_gamma 90.00
_symmetry_space_group_name_H-M 'C m c m'
_symmetry_Int_Tables_number 63
_symmetry_space_group_name_Hall '-C 2c 2'
loop_
_atom_site_label
_atom_site_type_symbol
_atom_site_fract_x
_atom_site_fract_y
_atom_site_fract_z
_atom_site_occupancy
Na1 Na 0.0000 0.0747 0.2500 1
Na2 Na 0.1709 0.2407 0.7500 1
Cd1 Cd 0.1768 0.5000 0.0000 1
Ag1 Ag 0.0000 0.3327 0.2500 1
# - ρ (g cm⁻³) = 4.24

Most stable pick: Q. Distance to second place: 0.026 eV/atom.